Version one
Sm3InGe2 after structural relaxation. Source: Alexandria, functional PBE-GGA.

Values from the calculation:
Space-group type: Immm (71)

```
data_Sm3InGe2
_chemical_formula_sum 'Sm6 In2 Ge4'
_cell_length_a 4.4162
_cell_length_b 4.4339
_cell_length_c 15.9927
_cell_angle_alpha 90.00
_cell_angle_beta 90.00
_cell_angle_gamma 90.00
_space_group_name_H-M_alt 'P 1'
_space_group_IT_number 1
_space_group_name_Hall 'P 1'
loop_
_atom_site_label
_atom_site_fract_x
_atom_site_fract_y
_atom_site_fract_z
Sm1 0.0000 0.0000 0.0000
Sm2 0.0000 0.5000 0.1749
Sm3 0.0000 0.5000 0.8251
Sm4 0.5000 0.0000 0.3251
Sm5 0.5000 0.0000 0.6749
Sm6 0.5000 0.5000 0.5000
In1 0.0000 0.0000 0.5000
In2 0.5000 0.5000 0.0000
Ge1 0.0000 0.5000 0.3613
Ge2 0.0000 0.5000 0.6387
Ge3 0.5000 0.0000 0.1387
Ge4 0.5000 0.0000 0.8613
```

---

Version two
Sm3InGe2 after structural relaxation. Source: Alexandria, functional PBE-GGA.

Values from the calculation:
Space-group type: R-3c (167)

```
data_Sm3InGe2
_chemical_formula_sum 'Sm6 In2 Ge4'
_cell_length_a 7.8251
_cell_length_b 7.8251
_cell_length_c 7.8251
_cell_angle_alpha 60.78
_cell_angle_beta 60.78
_cell_angle_gamma 60.78
_space_group_name_H-M_alt 'P 1'
_space_group_IT_number 1
_space_group_name_Hall 'P 1'
loop_
_atom_site_label
_atom_site_fract_x
_atom_site_fract_y
_atom_site_fract_z
Sm1 0.0495 0.7500 0.4505
Sm2 0.2500 0.5495 0.9505
Sm3 0.4505 0.0495 0.7500
Sm4 0.5495 0.9505 0.2500
Sm5 0.7500 0.4505 0.0495
Sm6 0.9505 0.2500 0.5495
In1 0.0000 0.0000 0.0000
In2 0.5000 0.5000 0.5000
Ge1 0.1526 0.1526 0.1526
Ge2 0.3474 0.3474 0.3474
Ge3 0.6526 0.6526 0.6526
Ge4 0.8474 0.8474 0.8474
```

---

It is version two that is the least stable of them.